1.
{
  "formula": "Ba2ErIO6",
  "functional": "GGA-PBE",
  "state": "relaxed",
  "cell": [[3.091, 1.785, 10.349], [-3.091, 1.785, 10.349], [0.000, -3.570, 10.349]],
  "species": ["Ba", "Ba", "Ba", "Ba", "Er", "Er", "I", "I", "O", "O", "O", "O", "O", "O", "O", "O", "O", "O", "O", "O"],
  "frac_coords": [[0.131, 0.131, 0.131], [0.276, 0.276, 0.276], [0.724, 0.724, 0.724], [0.869, 0.869, 0.869], [0.404, 0.404, 0.404], [0.596, 0.596, 0.596], [0.000, 0.000, 0.000], [0.500, 0.500, 0.500], [0.143, 0.616, 0.616], [0.197, 0.197, 0.728], [0.197, 0.728, 0.197], [0.272, 0.803, 0.803], [0.384, 0.384, 0.857], [0.384, 0.857, 0.384], [0.616, 0.143, 0.616], [0.616, 0.616, 0.143], [0.728, 0.197, 0.197], [0.803, 0.272, 0.803], [0.803, 0.803, 0.272], [0.857, 0.384, 0.384]],
  "dos_at_fermi_per_ev_cell": 0.0,
  "m_tot_mub_per_cell": 0.0,
  "crystal_system": "trigonal",
  "dft_energy_ev_per_fu": -60.7,
  "e_form_raw_mev_per_atom": -2095
}

2.
{
  "formula": "MnCoIr2",
  "functional": "GGA-PBE",
  "state": "relaxed",
  "cell": [[5.311, 0.000, 0.000], [0.000, 8.766, 0.000], [-1.251, 0.000, 2.379]],
  "species": ["Mn", "Mn", "Co", "Co", "Ir", "Ir", "Ir", "Ir"],
  "frac_coords": [[0.000, 0.000, 0.000], [0.500, 0.500, 0.000], [0.000, 0.500, 0.000], [0.500, 0.000, 0.000], [0.250, 0.250, 0.500], [0.250, 0.750, 0.500], [0.750, 0.250, 0.500], [0.750, 0.750, 0.500]],
  "dos_at_fermi_per_ev_cell": 9.7,
  "m_tot_mub_per_cell": 11.8,
  "crystal_system": "monoclinic",
  "dft_energy_ev_per_fu": -33.4,
  "formation_enthalpy_0k_ev_per_atom": 0.14
}